A relaxed structure of Cs2HgAuCl, computed with GGA-PBE.

Calculated values
The calculation puts the spin magnetization at 0.00 μB per formula unit. Its polymorph energy (0 for the lowest one) is 168.0 meV/atom. Its volume is 49.447 Å³ per atom. The uncorrected formation energy comes out at -0.77 eV/atom.

The structure in CIF format:
```
data_Cs2HgAuCl
_cell_length_a 6.777
_cell_length_b 6.777
_cell_length_c 5.384
_cell_angle_alpha 90.00
_cell_angle_beta 90.00
_cell_angle_gamma 90.00
_space_group_name_H-M_alt 'P 4/m m m'
_space_group_IT_number 123
_space_group_name_Hall '-P 4 2'
loop_
_atom_site_label
_atom_site_type_symbol
_atom_site_fract_x
_atom_site_fract_y
_atom_site_fract_z
_atom_site_occupancy
Cs1 Cs 0.000 0.500 0.000 1
Hg1 Hg 0.000 0.000 0.500 1
Au1 Au 0.000 0.000 0.000 1
Cl1 Cl 0.500 0.500 0.500 1
```

---

A relaxed structure of Cu2NiIr, computed with GGA-PBE.

Calculated values
The calculation puts the spin magnetization at 0.78 μB per formula unit. Its polymorph energy (0 for the lowest one) is 104.5 meV/atom. Its volume is 12.493 Å³ per atom. As for the formation energy: 61 kJ/mol of formula units.

The structure in CIF format:
```
data_Cu2NiIr
_cell_length_a 2.583
_cell_length_b 3.721
_cell_length_c 5.200
_cell_angle_alpha 90.00
_cell_angle_beta 90.00
_cell_angle_gamma 90.00
_space_group_name_H-M_alt 'P m m m'
_space_group_IT_number 47
loop_
_space_group_symop_operation_xyz
'x,y,z'
'-x,-y,-z'
'-x,-y,z'
'x,y,-z'
'x,-y,-z'
'-x,y,z'
'-x,y,-z'
'x,-y,z'
loop_
_atom_site_label
_atom_site_type_symbol
_atom_site_fract_x
_atom_site_fract_y
_atom_site_fract_z
_atom_site_occupancy
Cu1 Cu 0.000 0.000 0.241 1
Ni1 Ni 0.500 0.500 0.000 1
Ir1 Ir 0.500 0.500 0.500 1
```

---

A relaxed structure of GaWSe2Br, computed with GGA-PBE.

Calculated values
The calculation puts the spin magnetization at 3.69 μB per formula unit. Its polymorph energy (0 for the lowest one) is 937.5 meV/atom. Its volume is 24.459 Å³ per atom. The uncorrected formation energy comes out at 1.05 eV/atom.

The structure in CIF format:
```
data_GaWSe2Br
_cell_length_a 5.031
_cell_length_b 5.031
_cell_length_c 4.831
_cell_angle_alpha 90.00
_cell_angle_beta 90.00
_cell_angle_gamma 90.00
_space_group_name_H-M_alt 'P 4/m m m'
_space_group_IT_number 123
_space_group_name_Hall '-P 4 2'
loop_
_atom_site_label
_atom_site_type_symbol
_atom_site_fract_x
_atom_site_fract_y
_atom_site_fract_z
_atom_site_occupancy
Ga1 Ga 0.000 0.000 0.000 1
W1 W 0.500 0.500 0.500 1
Se1 Se 0.000 0.500 0.000 1
Br1 Br 0.000 0.000 0.500 1
```

---

Copy entry 2 word for word.
A relaxed structure of Cu2NiIr, computed with GGA-PBE.

Calculated values
The calculation puts the spin magnetization at 0.78 μB per formula unit. Its polymorph energy (0 for the lowest one) is 104.5 meV/atom. Its volume is 12.493 Å³ per atom. As for the formation energy: 61 kJ/mol of formula units.

The structure in CIF format:
```
data_Cu2NiIr
_cell_length_a 2.583
_cell_length_b 3.721
_cell_length_c 5.200
_cell_angle_alpha 90.00
_cell_angle_beta 90.00
_cell_angle_gamma 90.00
_space_group_name_H-M_alt 'P m m m'
_space_group_IT_number 47
loop_
_space_group_symop_operation_xyz
'x,y,z'
'-x,-y,-z'
'-x,-y,z'
'x,y,-z'
'x,-y,-z'
'-x,y,z'
'-x,y,-z'
'x,-y,z'
loop_
_atom_site_label
_atom_site_type_symbol
_atom_site_fract_x
_atom_site_fract_y
_atom_site_fract_z
_atom_site_occupancy
Cu1 Cu 0.000 0.000 0.241 1
Ni1 Ni 0.500 0.500 0.000 1
Ir1 Ir 0.500 0.500 0.500 1
```